No. 1
The following is a DFT calculation (PBE) of an optimized crystal structure of ZrTaBr2.

Properties
calculated total energy = -25.40 eV per formula unit
M_tot = 0.0 μB/f.u.
excess energy over the best structure of this formula in the dataset = 0.136 eV per atom
volume = 102 Å³/f.u.

Lattice parameters (Å, degrees): 3.2437 3.2281 9.8256 90.00 98.82 90.00
Closest atoms and distances in Å follow each position.
Sites, in units of the cell vectors:
Zr (0.0000, 0.0000, 0.0000)  4 Br 2.97, 4 Ta 3.10, 4 Zr 3.23-3.24
Ta (0.5996, 0.5000, 0.2152)  2 Br 2.61
Br (0.4086, 0.5000, 0.8050)  4 Zr 2.97, 4 Br 3.23-3.24
Br (0.6985, 0.0000, 0.4264)  2 Ta 2.61

---

No. 2
The following is a DFT calculation (PBE) of an optimized crystal structure of GaNi3Os.

Properties
calculated total energy = -25.40 eV per formula unit
M_tot = 0.0 μB/f.u.
excess energy over the best structure of this formula in the dataset = 0.000 eV per atom
ΔE_f = 1239 meV/atom
volume = 93 Å³/f.u.

Lattice parameters (Å, degrees): 4.5301 4.5301 4.5301 90.00 90.00 90.00
Closest atoms and distances in Å follow each position.
Sites, in units of the cell vectors:
Ga (0.0000, 0.0000, 0.0000)  12 Ni 3.20
Ni (0.0000, 0.5000, 0.5000)  2 Os 2.27
Ni (0.5000, 0.0000, 0.5000)  2 Os 2.27
Ni (0.5000, 0.5000, 0.0000)  2 Os 2.27
Os (0.5000, 0.5000, 0.5000)  6 Ni 2.27

---

No. 3
The following is a DFT calculation (PBE) of an optimized crystal structure of Pu6PaGe6.

Properties
calculated total energy = -125.69 eV per formula unit
M_tot = 11.1 μB/f.u.
ΔE_f = -192 meV/atom
volume = 297 Å³/f.u.

Lattice parameters (Å, degrees): 6.0269 8.9429 6.2037 90.00 117.18 90.00
Closest atoms and distances in Å follow each position.
Sites, in units of the cell vectors:
Pu (0.0000, 0.1822, 0.0000)  6 Ge 3.02-3.14, 5 Pu 3.18-3.35
Pu (0.0000, 0.2587, 0.5000)  4 Ge 2.91-2.94, 4 Pu 3.03-3.18
Pu (0.0000, 0.7413, 0.5000)  4 Ge 2.91-2.94, 4 Pu 3.03-3.18
Pu (0.0000, 0.8178, 0.0000)  6 Ge 3.02-3.14, 5 Pu 3.18-3.35
Pu (0.5000, 0.2989, 0.5000)  4 Ge 2.94-2.95, 2 Pu 3.03
Pu (0.5000, 0.7011, 0.5000)  4 Ge 2.94-2.95, 2 Pu 3.03
Pa (0.5000, 0.5000, 0.0000)  4 Ge 3.01-3.11
Ge (0.0787, 0.5000, 0.2207)  1 Ge 2.45
Ge (0.2833, 0.0000, 0.4823)  1 Ge 2.52
Ge (0.5000, 0.1638, 0.0000)  3 Ge 2.93-3.21, 1 Pa 3.01, 2 Pu 3.02
Ge (0.5000, 0.8362, 0.0000)  3 Ge 2.93-3.21, 1 Pa 3.01, 2 Pu 3.02
Ge (0.7167, 0.0000, 0.5177)  1 Ge 2.52
Ge (0.9213, 0.5000, 0.7793)  1 Ge 2.45

---

No. 4
The following is a DFT calculation (PBE) of an optimized crystal structure of Th4CoAsS2.

Properties
calculated total energy = -60.05 eV per formula unit
M_tot = 0.0 μB/f.u.
volume = 198 Å³/f.u.

Lattice parameters (Å, degrees): 7.1401 3.9985 7.3380 90.00 108.94 90.00
Closest atoms and distances in Å follow each position.
Sites, in units of the cell vectors:
Th (0.2287, 0.0000, 0.2258)  2 Co 2.77, 3 S 2.93-3.04, 1 As 2.97
Th (0.2535, 0.5000, 0.7607)  3 S 2.86-2.99, 1 Co 2.90, 2 As 2.95
Th (0.7465, 0.5000, 0.2393)  3 S 2.86-2.99, 1 Co 2.90, 2 As 2.95
Th (0.7713, 0.0000, 0.7742)  2 Co 2.77, 3 S 2.93-3.04, 1 As 2.97
Co (0.0000, 0.5000, 0.0000)  6 Th 2.77-2.90
As (0.0000, 0.0000, 0.5000)  6 Th 2.95-2.97
S (0.5000, 0.0000, 0.0000)  6 Th 2.86-2.93
S (0.5000, 0.5000, 0.5000)  6 Th 2.99-3.04

---

No. 5
The following is a DFT calculation (PBE) of an optimized crystal structure of MgSc5Al.

Properties
calculated total energy = -36.72 eV per formula unit
M_tot = 0.0 μB/f.u.
ΔE_f = 39 meV/atom
volume = 165 Å³/f.u.

Lattice parameters (Å, degrees): 5.7140 5.7140 10.5960 101.17 101.17 94.98
Closest atoms and distances in Å follow each position.
Sites, in units of the cell vectors:
Mg (0.0000, 0.0000, 0.0000)  6 Sc 2.90-3.16
Mg (0.0000, 0.0000, 0.5000)  6 Sc 2.90-3.16
Sc (0.0010, 0.4087, 0.8382)  5 Sc 3.00-3.33, 2 Al 3.04-3.15, 1 Mg 3.15
Sc (0.1410, 0.8590, 0.7500)  2 Mg 2.90, 1 Al 2.92, 4 Sc 3.00-3.19
Sc (0.2447, 0.5234, 0.4680)  3 Sc 2.91-3.19, 2 Al 2.99-3.06, 1 Mg 3.16
Sc (0.4087, 0.0010, 0.3382)  5 Sc 3.00-3.33, 2 Al 3.04-3.15, 1 Mg 3.15
Sc (0.4766, 0.7553, 0.0320)  3 Sc 2.91-3.19, 2 Al 2.99-3.06, 1 Mg 3.16
Sc (0.5234, 0.2447, 0.9680)  3 Sc 2.91-3.19, 2 Al 2.99-3.06, 1 Mg 3.16
Sc (0.5913, 0.9990, 0.6618)  5 Sc 3.00-3.33, 2 Al 3.04-3.15, 1 Mg 3.15
Sc (0.7553, 0.4766, 0.5320)  3 Sc 2.91-3.19, 2 Al 2.99-3.06, 1 Mg 3.16
Sc (0.8590, 0.1410, 0.2500)  2 Mg 2.90, 1 Al 2.92, 4 Sc 3.00-3.19
Sc (0.9990, 0.5913, 0.1618)  5 Sc 3.00-3.33, 2 Al 3.04-3.15, 1 Mg 3.15
Al (0.4879, 0.5121, 0.7500)  9 Sc 2.92-3.15
Al (0.5121, 0.4879, 0.2500)  9 Sc 2.92-3.15

---

No. 6
The following is a DFT calculation (PBE) of an optimized crystal structure of LaIO2.

Properties
calculated total energy = -21.12 eV per formula unit
M_tot = 2.0 μB/f.u.
excess energy over the best structure of this formula in the dataset = 0.979 eV per atom
volume = 70 Å³/f.u.

Lattice parameters (Å, degrees): 4.6334 4.6334 4.6334 60.00 60.00 60.00
Closest atoms and distances in Å follow each position.
Sites, in units of the cell vectors:
La (0.0000, 0.0000, 0.0000)  8 O 2.84
I (0.5000, 0.5000, 0.5000)  8 O 2.84
O (0.2500, 0.2500, 0.2500)  4 La 2.84, 4 I 2.84
O (0.7500, 0.7500, 0.7500)  4 I 2.84, 4 La 2.84

---

No. 7
The following is a DFT calculation (PBE) of an optimized crystal structure of LaPdI2N.

Properties
calculated total energy = -21.01 eV per formula unit
M_tot = 0.9 μB/f.u.
excess energy over the best structure of this formula in the dataset = 0.110 eV per atom
volume = 170 Å³/f.u.

Lattice parameters (Å, degrees): 6.4339 6.4339 4.1095 90.00 90.00 90.00
Closest atoms and distances in Å follow each position.
Sites, in units of the cell vectors:
La (0.0000, 0.0000, 0.0000)  2 N 2.05
Pd (0.5000, 0.5000, 0.5000)  8 I 3.82, 2 Pd 4.11
I (0.0000, 0.5000, 0.0000)  2 La 3.22
I (0.5000, 0.0000, 0.0000)  2 La 3.22
N (0.0000, 0.0000, 0.5000)  2 La 2.05

---

No. 8
The following is a DFT calculation (PBE) of an optimized crystal structure of InAgIO2.

Properties
calculated total energy = -15.28 eV per formula unit
M_tot = 0.0 μB/f.u.
excess energy over the best structure of this formula in the dataset = 0.633 eV per atom
volume = 104 Å³/f.u.

Lattice parameters (Å, degrees): 4.3188 4.3188 5.5834 90.00 90.00 90.00
Closest atoms and distances in Å follow each position.
Sites, in units of the cell vectors:
In (0.0000, 0.0000, 0.0000)  4 I 3.05
Ag (0.5000, 0.5000, 0.5000)  4 O 2.16
I (0.5000, 0.5000, 0.0000)  2 Ag 2.79, 4 In 3.05
O (0.0000, 0.5000, 0.5000)  2 Ag 2.16
O (0.5000, 0.0000, 0.5000)  2 Ag 2.16

---

No. 9
The following is a DFT calculation (PBE) of an optimized crystal structure of TbNd2Tm3.

Properties
calculated total energy = -26.83 eV per formula unit
M_tot = 0.0 μB/f.u.
excess energy over the best structure of this formula in the dataset = 0.003 eV per atom
ΔE_f = 124 meV/atom
volume = 196 Å³/f.u.

Lattice parameters (Å, degrees): 11.7696 11.7696 10.1946 108.24 108.24 17.03
Closest atoms and distances in Å follow each position.
Sites, in units of the cell vectors:
Tb (0.1893, 0.1893, 0.0364)  5 Tm 3.32-3.70, 3 Nd 3.41-3.69, 4 Tb 3.49-3.59
Tb (0.8107, 0.8107, 0.9636)  5 Tm 3.32-3.70, 3 Nd 3.41-3.69, 4 Tb 3.49-3.59
Nd (0.1900, 0.1900, 0.3718)  4 Tm 3.38-3.55, 1 Tb 3.41, 6 Nd 3.49-3.61
Nd (0.4312, 0.4312, 0.8677)  5 Nd 3.47-3.55, 2 Tb 3.69, 4 Tm 3.71-3.80
Nd (0.5688, 0.5688, 0.1323)  5 Nd 3.47-3.55, 2 Tb 3.69, 4 Tm 3.71-3.80
Nd (0.8100, 0.8100, 0.6282)  4 Tm 3.38-3.55, 1 Tb 3.41, 6 Nd 3.49-3.61
Tm (0.0581, 0.0581, 0.4449)  8 Tm 3.24-3.60, 1 Nd 3.38
Tm (0.1944, 0.1944, 0.7148)  3 Tb 3.32-3.53, 3 Nd 3.47-3.55, 5 Tm 3.48-3.53
Tm (0.4297, 0.4297, 0.2389)  8 Tm 3.49-3.60, 2 Tb 3.70, 2 Nd 3.73-3.80
Tm (0.5703, 0.5703, 0.7611)  8 Tm 3.49-3.60, 2 Tb 3.70, 2 Nd 3.73-3.80
Tm (0.8056, 0.8056, 0.2852)  3 Tb 3.32-3.53, 3 Nd 3.47-3.55, 5 Tm 3.48-3.53
Tm (0.9419, 0.9419, 0.5551)  8 Tm 3.24-3.60, 1 Nd 3.38

---

No. 10
The following is a DFT calculation (PBE) of an optimized crystal structure of SbRu2N.

Properties
calculated total energy = -30.12 eV per formula unit
M_tot = 0.0 μB/f.u.
excess energy over the best structure of this formula in the dataset = 0.000 eV per atom
volume = 68 Å³/f.u.

Lattice parameters (Å, degrees): 6.1532 6.1532 6.1532 129.14 129.14 74.78
Closest atoms and distances in Å follow each position.
Sites, in units of the cell vectors:
Sb (0.0000, 0.0000, 0.0000)  4 Ru 2.62
Sb (0.7500, 0.2500, 0.5000)  4 Ru 2.62
Ru (0.2363, 0.6250, 0.1113)  2 N 1.94
Ru (0.3750, 0.4863, 0.6113)  2 N 1.94
Ru (0.5137, 0.1250, 0.8887)  2 N 1.94
Ru (0.8750, 0.7637, 0.3887)  2 N 1.94
N (0.2500, 0.7500, 0.5000)  4 Ru 1.94
N (0.5000, 0.5000, 0.0000)  4 Ru 1.94